Dy2ZnTcC | Alexandria | PBE | optimized geometry; formation enthalpy at 0 K = -0.30 eV per atom; total magnetic moment = 0.0 μB per formula unit
1.0
-1.9741 -2.9804 -1.7166
2.8212 0.4517 -4.0289
3.2234 -3.2268 1.8954
Dy Zn Tc C
2 1 1 1
Direct
0.0000 0.0000 0.5000
0.0000 0.5000 0.0000
0.5000 0.5000 0.5000
0.5000 0.0000 0.0000
0.0000 0.0000 0.0000



Dy5Te4C | Alexandria | PBE | optimized geometry; total DFT energy (no corrections) = -5.60 eV/atom; total magnetic moment = 0.0 μB per formula unit
1.0
5.9969 0.0000 0.0000
2.9985 6.7003 0.0000
2.9985 0.0000 6.7003
Dy Te C
5 4 1
Direct
0.9123 0.3344 0.8475
0.2468 0.8475 0.6656
0.7598 0.1525 0.3344
0.0943 0.6656 0.1525
0.4593 0.0000 0.0000
0.4162 0.3963 0.7757
0.8125 0.7757 0.6037
0.1919 0.2243 0.3963
0.5882 0.6037 0.2243
0.0290 0.0000 0.0000



Dy2TeC2 | Alexandria | PBE | optimized geometry; total DFT energy (no corrections) = -6.89 eV/atom; total magnetic moment = 0.0 μB per formula unit
1.0
-2.2973 -2.6651 -2.1917
-1.7551 -3.3557 5.9202
-3.9906 6.1660 0.6052
Dy Te C
4 2 4
Direct
0.8319 0.1394 0.3061
0.4741 0.6394 0.3061
0.1681 0.8606 0.6939
0.5259 0.3606 0.6939
0.7982 0.7500 0.0000
0.2018 0.2500 0.0000
0.8959 0.4632 0.5399
0.3560 0.0368 0.4601
0.1041 0.5368 0.4601
0.6440 0.9632 0.5399



Dy4Te3C | Alexandria | PBE | optimized geometry; relative energy among the computed polymorphs = 130.9 kJ/mol of formula units; total magnetic moment = 0.0 μB per formula unit
1.0
-5.1956 2.4306 -1.6092
-2.4949 -0.3629 7.5073
3.8691 9.4236 1.7414
Dy Te C
8 6 2
Direct
0.0755 0.8530 0.0000
0.6053 0.1350 0.0000
0.0653 0.2404 0.2049
0.5653 0.7596 0.2951
0.1053 0.8650 0.5000
0.5755 0.1470 0.5000
0.5653 0.7596 0.7049
0.0653 0.2404 0.7951
0.5742 0.7502 0.0000
0.0651 0.6514 0.2601
0.5651 0.3486 0.2399
0.0742 0.2498 0.5000
0.5651 0.3486 0.7601
0.0651 0.6514 0.7399
0.9994 0.1367 0.0000
0.4994 0.8633 0.5000



Dy6Te3C | Alexandria | PBE | optimized geometry; total DFT energy (no corrections) = -5.33 eV/atom; total magnetic moment = 0.0 μB per formula unit
1.0
6.8354 0.0000 0.0000
0.0000 9.4624 -0.1758
0.0000 -2.2829 9.1846
Dy Te C
12 6 2
Direct
0.1466 0.7335 0.5847
0.6466 0.5847 0.7335
0.1966 0.4281 0.8926
0.6966 0.8926 0.4281
0.1763 0.0549 0.9451
0.7477 0.2098 0.7902
0.2477 0.7902 0.2098
0.6763 0.9451 0.0549
0.1966 0.1074 0.5719
0.6966 0.5719 0.1074
0.1466 0.4153 0.2665
0.6466 0.2665 0.4153
0.5039 0.9029 0.7355
0.0039 0.7355 0.9029
0.2907 0.4269 0.5731
0.7907 0.5731 0.4269
0.0039 0.0971 0.2645
0.5039 0.2645 0.0971
0.0765 0.1951 0.8049
0.5765 0.8049 0.1951



Dy3TeC | Alexandria | PBE | optimized geometry; relative energy among the computed polymorphs = 0.0 kJ/mol of formula units; total magnetic moment = 0.4 μB per formula unit
1.0
-3.4331 0.2597 5.2464
1.8291 -9.0199 -0.4240
8.3302 2.1817 3.2757
Dy Te C
12 4 4
Direct
0.5552 0.1968 0.9983
0.9448 0.0017 0.8032
0.4448 0.8032 0.0017
0.0552 0.9983 0.1968
0.9162 0.6532 0.0593
0.5838 0.9407 0.3468
0.0838 0.3468 0.9407
0.4162 0.0593 0.6532
0.4638 0.5795 0.2624
0.0362 0.7376 0.4205
0.5362 0.4205 0.7376
0.9638 0.2624 0.5795
0.9442 0.4034 0.2597
0.5558 0.7403 0.5966
0.0558 0.5966 0.7403
0.4442 0.2597 0.4034
0.2500 0.2159 0.7841
0.7500 0.7841 0.2159
0.2500 0.7837 0.2163
0.7500 0.2163 0.7837



DyTeC | Alexandria | PBE | optimized geometry; total DFT energy (no corrections) = -6.22 eV/atom; total magnetic moment = 0.0 μB per formula unit
1.0
-3.7288 0.2773 -2.0255
1.3868 -2.9337 -2.9547
-1.7595 -4.6641 7.0645
Te C Dy
2 2 2
Direct
0.6782 0.1782 0.3563
0.3218 0.8218 0.6437
0.6470 0.5000 0.0000
0.3530 0.5000 0.0000
0.1211 0.6211 0.2423
0.8789 0.3789 0.7577



Dy3TeC | Alexandria | PBE | optimized geometry; relative energy among the computed polymorphs = 32.5 kJ/mol of formula units; total magnetic moment = 0.0 μB per formula unit
1.0
4.8960 0.0000 0.0000
0.0000 4.8960 0.0000
0.0000 0.0000 4.8960
C Te Dy
1 1 3
Direct
0.0000 0.0000 0.0000
0.5000 0.5000 0.5000
0.0000 0.5000 0.0000
0.0000 0.0000 0.5000
0.5000 0.0000 0.0000



Dy6Te5C | Alexandria | PBE | optimized geometry; total DFT energy (no corrections) = -5.57 eV/atom; total magnetic moment = 0.0 μB per formula unit
1.0
7.2831 0.2215 0.0000
2.2531 7.0917 0.0000
1.1265 3.5458 6.3924
Dy Te C
6 5 1
Direct
0.7897 0.0687 0.2795
0.2103 0.6518 0.2795
0.2250 0.2029 0.0000
0.7750 0.7971 0.0000
0.7897 0.3482 0.7205
0.2103 0.9313 0.7205
0.5000 0.1807 0.6386
0.0000 0.3362 0.3277
0.5000 0.5000 0.0000
0.0000 0.6638 0.6723
0.5000 0.8193 0.3614
0.0000 0.0000 0.0000



Dy5Te2C2 | Alexandria | PBE | optimized geometry; total DFT energy (no corrections) = -5.90 eV/atom; total magnetic moment = 0.0 μB per formula unit
1.0
7.6124 0.0000 0.0000
0.0000 6.7394 0.0000
-3.8062 -3.3697 8.8027
Dy Te C
10 4 4
Direct
0.2342 0.7155 0.9570
0.7658 0.7585 0.0430
0.2228 0.2155 0.9570
0.7772 0.2585 0.0430
0.2006 0.1047 0.2784
0.7994 0.8263 0.7216
0.5778 0.6047 0.2784
0.4222 0.3263 0.7216
0.0988 0.6307 0.5000
0.9012 0.1307 0.5000
0.1507 0.6109 0.2148
0.8493 0.3961 0.7852
0.5641 0.1109 0.2148
0.4359 0.8961 0.7852
0.0000 0.9968 0.0000
0.5000 0.4968 0.0000
0.1667 0.2965 0.5000
0.8333 0.7965 0.5000



Dy6Te2C3 | Alexandria | PBE | optimized geometry; total DFT energy (no corrections) = -6.33 eV/atom; total magnetic moment = 0.9 μB per formula unit
1.0
6.1851 0.0000 1.8536
3.0925 5.6001 0.9268
0.0316 0.0000 7.4737
Dy Te C
6 2 3
Direct
0.3950 0.6628 0.8162
0.7308 0.0000 0.8211
0.0578 0.3372 0.8162
0.2692 0.0000 0.1789
0.6050 0.3372 0.1838
0.9422 0.6628 0.1838
0.1653 0.6693 0.5000
0.8347 0.3307 0.5000
0.0000 0.0000 0.0000
0.3294 0.3412 0.0000
0.6706 0.6588 0.0000



Dy6TeC3 | Alexandria | PBE | optimized geometry; total DFT energy (no corrections) = -6.33 eV/atom; total magnetic moment = 0.3 μB per formula unit
1.0
-3.1627 -0.0864 -1.8892
3.0868 -9.5509 -4.7307
-5.6064 -2.3669 9.4938
Dy Te C
12 2 6
Direct
0.7500 0.1814 0.5682
0.2500 0.8186 0.4318
0.7500 0.1321 0.0529
0.2500 0.8679 0.9471
0.7500 0.7571 0.6664
0.2500 0.2429 0.3336
0.7500 0.5372 0.3789
0.2500 0.4628 0.6211
0.7500 0.3452 0.8675
0.2500 0.6548 0.1325
0.7500 0.9540 0.2421
0.2500 0.0460 0.7579
0.7500 0.6193 0.8760
0.2500 0.3807 0.1240
0.7500 0.3494 0.4716
0.2500 0.6506 0.5284
0.7500 0.7419 0.2753
0.2500 0.2581 0.7247
0.7500 0.9589 0.8556
0.2500 0.0411 0.1444



Dy12Te3C5 | Alexandria | PBE | optimized geometry; total DFT energy (no corrections) = -5.95 eV/atom; total magnetic moment = 0.0 μB per formula unit
1.0
13.6725 0.0000 0.0000
-4.5575 12.8905 0.0000
-4.5575 -6.4453 11.1635
C Te Dy
20 12 48
Direct
0.1250 0.3750 0.2500
0.0000 0.5000 0.0000
0.0000 0.0000 0.0000
0.3750 0.2500 0.1250
0.5000 0.0000 0.5000
0.5000 0.5000 0.0000
0.1250 0.7500 0.3750
0.7500 0.1250 0.8750
0.7500 0.6250 0.3750
0.3750 0.1250 0.7500
0.6250 0.8750 0.2500
0.5000 0.5000 0.5000
0.5000 0.0000 0.0000
0.0000 0.0000 0.5000
0.2500 0.3750 0.6250
0.2500 0.8750 0.1250
0.0000 0.5000 0.5000
0.8750 0.2500 0.6250
0.6250 0.7500 0.8750
0.8750 0.6250 0.7500
0.7500 0.3750 0.1250
0.8750 0.7500 0.1250
0.3750 0.7500 0.6250
0.2500 0.1250 0.3750
0.8750 0.1250 0.2500
0.3750 0.6250 0.2500
0.6250 0.3750 0.7500
0.1250 0.8750 0.7500
0.7500 0.8750 0.6250
0.6250 0.2500 0.3750
0.1250 0.2500 0.8750
0.2500 0.6250 0.8750
0.6985 0.1101 0.0145
0.3161 0.5145 0.4044
0.9855 0.3899 0.3015
0.5145 0.1985 0.1101
0.5883 0.6985 0.6839
0.9855 0.5956 0.1839
0.3161 0.8015 0.4117
0.0956 0.9117 0.1101
0.5956 0.9855 0.6839
0.6985 0.5883 0.1839
0.8015 0.4855 0.3899
0.8161 0.9044 0.0145
0.1101 0.6985 0.5145
0.3899 0.4044 0.0883
0.0883 0.9044 0.3899
0.4117 0.1101 0.5956
0.0883 0.1839 0.1985
0.4855 0.6839 0.0956
0.8161 0.9117 0.3015
0.1101 0.4117 0.0956
0.3899 0.9855 0.8015
0.5956 0.6101 0.4117
0.9044 0.8161 0.5145
0.8015 0.3161 0.9117
0.4044 0.3899 0.5883
0.0956 0.1839 0.4855
0.1985 0.6839 0.0883
0.1839 0.0883 0.6985
0.6101 0.0145 0.1985
0.8899 0.5883 0.9044
0.5145 0.3161 0.9044
0.5883 0.8899 0.4044
0.9117 0.8161 0.8015
0.9117 0.0956 0.6101
0.8899 0.3015 0.4855
0.1839 0.0956 0.9855
0.6101 0.5956 0.9117
0.4044 0.0145 0.3161
0.3015 0.4117 0.8161
0.1985 0.5145 0.6101
0.9044 0.0883 0.8899
0.6839 0.1985 0.5883
0.4855 0.8015 0.8899
0.0145 0.4044 0.8161
0.4117 0.3015 0.3161
0.0145 0.6101 0.6985
0.6839 0.4855 0.5956
0.3015 0.8899 0.9855



Dy3TeC | Alexandria | PBE | optimized geometry; relative energy among the computed polymorphs = 42.1 kJ/mol of formula units; total magnetic moment = 0.0 μB per formula unit
1.0
-2.7835 2.5225 -0.2931
-4.4959 -4.5304 3.7063
4.1725 2.7720 8.4499
Dy Te C
6 2 2
Direct
0.9001 0.3727 0.8002
0.0999 0.8727 0.1998
0.5764 0.2525 0.1528
0.4236 0.7525 0.8472
0.7650 0.6512 0.5301
0.2350 0.1512 0.4699
0.8463 0.0001 0.6926
0.1537 0.5001 0.3074
0.3425 0.5176 0.6850
0.6575 0.0176 0.3150



Dy6TeC2 | Alexandria | PBE | optimized geometry; total DFT energy (no corrections) = -5.79 eV/atom; total magnetic moment = 0.0 μB per formula unit
1.0
4.8963 0.0000 0.0000
2.4482 6.4903 -0.4379
2.4482 2.1631 7.0986
Dy Te C
6 1 2
Direct
0.6896 0.6830 0.9379
0.3104 0.3170 0.0621
0.9629 0.8779 0.1964
0.3353 0.7456 0.5838
0.0371 0.1221 0.8036
0.6647 0.2544 0.4162
0.0000 0.5000 0.5000
0.1811 0.7312 0.9066
0.8189 0.2688 0.0934



Dy4Te5C | Alexandria | PBE | optimized geometry; total DFT energy (no corrections) = -5.24 eV/atom; total magnetic moment = 0.0 μB per formula unit
1.0
-3.8215 0.4030 -0.9946
0.0372 -7.7534 -3.2841
-0.4995 -2.7176 8.7384
Dy Te C
4 5 1
Direct
0.3555 0.9252 0.7110
0.0129 0.7996 0.0258
0.6445 0.0748 0.2890
0.9871 0.2004 0.9742
0.8500 0.6469 0.6999
0.8189 0.1822 0.6378
0.1811 0.8178 0.3622
0.5000 0.5000 0.0000
0.1500 0.3531 0.3001
0.5000 0.0000 0.0000



Dy4Te3C2 | Alexandria | PBE | optimized geometry; total DFT energy (no corrections) = -5.89 eV/atom; total magnetic moment = 0.0 μB per formula unit
1.0
5.9407 -0.4925 -0.3526
-0.3429 8.7295 -0.5699
-0.3429 2.2732 8.4475
Dy Te C
8 6 4
Direct
0.4719 0.9892 0.3130
0.0281 0.6870 0.0108
0.5281 0.0108 0.6870
0.9719 0.3130 0.9892
0.0964 0.2517 0.4311
0.4036 0.5689 0.7483
0.9036 0.7483 0.5689
0.5964 0.4311 0.2517
0.9627 0.9890 0.2421
0.5373 0.7579 0.0110
0.0373 0.0110 0.7579
0.4627 0.2421 0.9890
0.2500 0.6168 0.3832
0.7500 0.3832 0.6168
0.4935 0.2006 0.4412
0.0065 0.5588 0.7994
0.5065 0.7994 0.5588
0.9935 0.4412 0.2006